Material: Li3MnV4O12
Method: DFT, GGA+U
State: optimized geometry

Offset from the most stable computed form in eV/f.u.: 0.00
VASP energy in eV/atom: -7.081
Symmetry: No. 1

a = 5.736 Å, b = 7.051 Å, c = 7.045 Å
α = 93.41°, β = 74.62°, γ = 106.00°
Each line ends with the local moment (μB).
Fractional positions:
Li1 0.732 0.121 0.126  0.00
Li2 0.261 0.221 0.212  0.00
O1 0.966 0.599 0.339  -0.01
V1 0.728 0.600 0.222  0.13
O2 0.643 0.026 0.765  -0.02
O3 0.158 0.213 0.962  -0.01
O4 0.878 0.133 0.372  -0.01
O5 0.521 0.327 0.602  -0.01
V2 0.231 0.801 0.397  1.03
O6 0.477 0.669 0.388  -0.01
O7 0.021 0.390 0.675  -0.01
O8 0.346 0.964 0.189  -0.03
Li3 0.763 0.788 0.786  0.00
O9 0.624 0.370 0.134  0.00
O10 0.374 0.620 0.872  -0.01
V3 0.270 0.392 0.784  0.10
O11 0.859 0.774 0.031  -0.01
O12 0.132 0.878 0.639  -0.04
V4 0.770 0.216 0.597  0.09
Mn1 0.248 0.898 0.908  4.58